Record 1
# Na2HoSn9

A geometry-optimized Na2HoSn9 structure (PBE, Alexandria).

Output
crystal system	tetragonal
calculated formation energy	-0.21	eV/atom

a b c (Å): 4.670 4.670 14.510
angles (deg): 90.00 90.00 90.00
Space group P4/mmm (No. 123)
Symmetry-distinct sites (fractional):
Na (0.000, 0.000, 0.169) (multiplicity 2)
Ho (0.000, 0.000, 0.500) (multiplicity 1)
Sn (0.000, 0.500, 0.000) (multiplicity 2)
Sn (0.000, 0.500, 0.334) (multiplicity 4)
Sn (0.500, 0.500, 0.165) (multiplicity 2)
Sn (0.500, 0.500, 0.500) (multiplicity 1)

Record 2
# Cd4C23

A geometry-optimized Cd4C23 structure (PBE, Alexandria).

Output
crystal system	cubic
calculated formation energy	1.38	eV/atom

a b c (Å): 7.486 7.486 7.486
angles (deg): 90.00 90.00 90.00
Space group Pm-3n (No. 223)
Symmetry-distinct sites (fractional):
Cd (0.000, 0.000, 0.000) (multiplicity 2)
Cd (0.000, 0.250, 0.500) (multiplicity 6)
C (0.000, 0.285, 0.194) (multiplicity 24)
C (0.000, 0.500, 0.250) (multiplicity 6)
C (0.188, 0.188, 0.188) (multiplicity 16)

Record 3
# MgBeMo2

A geometry-optimized MgBeMo2 structure (PBE, Alexandria).

Output
crystal system	monoclinic
E above lowest polymorph	120	meV per atom
calculated formation energy	0.32	eV/atom

a b c (Å): 2.667 4.274 5.298
angles (deg): 90.00 99.16 90.00
Space group P2/m (No. 10)
Symmetry-distinct sites (fractional):
Mg (0.000, 0.000, 0.000) (multiplicity 1)
Be (0.000, 0.000, 0.500) (multiplicity 1)
Mo (0.462, 0.500, 0.733) (multiplicity 2)

Record 4
# TbUCSe2

A geometry-optimized TbUCSe2 structure (PBE, Alexandria).

Output
uncorrected formation energy	-1.1033	eV/atom
crystal system	tetragonal

a b c (Å): 3.922 3.922 14.518
angles (deg): 90.00 90.00 90.00
Space group P4/nmm (No. 129, origin choice 2)
Symmetry-distinct sites (fractional):
Tb (0.250, 0.250, 0.124) (multiplicity 2)
U (0.250, 0.250, 0.581) (multiplicity 2)
C (0.250, 0.750, 0.500) (multiplicity 2)
Se (0.250, 0.250, 0.315) (multiplicity 2)
Se (0.250, 0.250, 0.910) (multiplicity 2)

Record 5
# Cs2V2As

A geometry-optimized Cs2V2As structure (PBE, Alexandria).

Output
crystal system	tetragonal
E above lowest polymorph	509	meV per atom
calculated formation energy	1.24	eV/atom

a b c (Å): 10.957 10.957 3.276
angles (deg): 90.00 90.00 90.00
Space group P4/mbm (No. 127)
Symmetry-distinct sites (fractional):
Cs (0.222, 0.278, 0.000) (multiplicity 4)
V (0.059, 0.559, 0.500) (multiplicity 4)
As (0.000, 0.000, 0.000) (multiplicity 2)

Record 6
# CsNa2Pa2O7

A geometry-optimized CsNa2Pa2O7 structure (PBE, Alexandria).

Output
uncorrected formation energy	-2.7046	eV/atom
crystal system	tetragonal

a b c (Å): 4.445 4.445 20.114
angles (deg): 90.00 90.00 90.00
Space group I4/mmm (No. 139)
Symmetry-distinct sites (fractional):
Cs (0.000, 0.000, 0.000) (multiplicity 2)
Na (0.000, 0.500, 0.250) (multiplicity 4)
Pa (0.000, 0.000, 0.389) (multiplicity 4)
O (0.000, 0.000, 0.288) (multiplicity 4)
O (0.000, 0.000, 0.500) (multiplicity 2)
O (0.000, 0.500, 0.112) (multiplicity 8)

Record 7
# Rb2MgVCl6

A geometry-optimized Rb2MgVCl6 structure (PBE, Alexandria).

Output
uncorrected formation energy	-1.6718	eV/atom
crystal system	cubic

a b c (Å): 10.072 10.072 10.072
angles (deg): 90.00 90.00 90.00
Space group Fm-3m (No. 225)
Symmetry-distinct sites (fractional):
Rb (0.250, 0.250, 0.250) (multiplicity 8)
Mg (0.000, 0.000, 0.000) (multiplicity 4)
V (0.000, 0.000, 0.500) (multiplicity 4)
Cl (0.000, 0.000, 0.251) (multiplicity 24)

Record 8
# Ta2CuW

A geometry-optimized Ta2CuW structure (PBE, Alexandria).

Output
crystal system	orthorhombic
E above lowest polymorph	83	meV per atom
calculated formation energy	0.11	eV/atom

a b c (Å): 3.352 4.390 8.854
angles (deg): 90.00 90.00 90.00
Space group Cmm2 (No. 35)
Symmetry-distinct sites (fractional):
Ta (0.000, 0.000, 0.000) (multiplicity 2)
Ta (0.000, 0.500, 0.269) (multiplicity 2)
Cu (0.000, 0.500, 0.759) (multiplicity 2)
W (0.000, 0.000, 0.528) (multiplicity 2)

Record 9
# Pr2ErSn3Pd4

A geometry-optimized Pr2ErSn3Pd4 structure (PBE, Alexandria).

Output
crystal system	tetragonal
calculated formation energy	-0.82	eV/atom

a b c (Å): 4.604 4.604 11.075
angles (deg): 90.00 90.00 90.00
Space group P-4m2 (No. 115)
Symmetry-distinct sites (fractional):
Pr (0.000, 0.500, 0.224) (multiplicity 2)
Er (0.000, 0.000, 0.500) (multiplicity 1)
Sn (0.000, 0.500, 0.875) (multiplicity 2)
Sn (0.500, 0.500, 0.500) (multiplicity 1)
Pd (0.000, 0.000, 0.000) (multiplicity 1)
Pd (0.000, 0.500, 0.641) (multiplicity 2)
Pd (0.500, 0.500, 0.000) (multiplicity 1)

Record 10
# MoPIr2

A geometry-optimized MoPIr2 structure (PBE, Alexandria).

Output
crystal system	trigonal
calculated formation energy	-0.09	eV/atom

a b c (Å): 2.8247 2.8247 24.9127
angles (deg): 90.00 90.00 120.00
Space group R3m (No. 160, hexagonal axes)
Symmetry-distinct sites (fractional):
Mo (0.0000, 0.0000, 0.0000) (multiplicity 3)
P (0.0000, 0.0000, 0.2523) (multiplicity 3)
Ir (0.0000, 0.0000, 0.5138) (multiplicity 3)
Ir (0.0000, 0.0000, 0.7524) (multiplicity 3)

Record 11
# La2SbCl

A geometry-optimized La2SbCl structure (PBE, Alexandria).

Output
uncorrected formation energy	-1.3899	eV/atom
crystal system	tetragonal

a b c (Å): 4.454 4.454 6.271
angles (deg): 90.00 90.00 90.00
Space group P4/mmm (No. 123)
Symmetry-distinct sites (fractional):
La (0.000, 0.000, 0.000) (multiplicity 1)
La (0.500, 0.500, 0.500) (multiplicity 1)
Sb (0.000, 0.000, 0.500) (multiplicity 1)
Cl (0.500, 0.500, 0.000) (multiplicity 1)

Record 12
# BaPIN2

A geometry-optimized BaPIN2 structure (PBE, Alexandria).

Output
uncorrected formation energy	0.8569	eV/atom
crystal system	tetragonal
E above lowest polymorph	0	meV per atom

a b c (Å): 4.403 4.403 5.416
angles (deg): 90.00 90.00 90.00
Space group P4/mmm (No. 123)
Symmetry-distinct sites (fractional):
Ba (0.000, 0.000, 0.000) (multiplicity 1)
P (0.500, 0.500, 0.500) (multiplicity 1)
I (0.500, 0.500, 0.000) (multiplicity 1)
N (0.000, 0.500, 0.500) (multiplicity 2)

no.,total magnetic moment (μB per atom)
1,0.000
2,0.000
3,0.000
4,0.147
5,0.131
6,0.000
7,0.300
8,0.000
9,0.000
10,0.000
11,0.000
12,0.297